(1)
4
Lattice="3.876 0.118 0.166 -1.932 4.248 0.119 1.553 2.454 3.641" Properties=species:S:1:pos:R:3 comment="CuP2Ir (PBE, optimized geometry)" total_energy_ev_per_cell=-22.92 delta_e_f_ev_per_atom=0.21 vol_a3_per_cell=57.8 density_g_cm3=9.13 pbc="T T T"
P 0.000 0.000 0.000
P -0.189 3.351 1.880
Cu 0.972 2.183 0.143
Ir 2.715 1.286 1.903

=====

(2)
4
Lattice="5.081 0.000 0.000 2.540 4.400 0.000 2.540 1.467 4.148" Properties=species:S:1:pos:R:3 comment="Sr2RuSe (PBE, optimized geometry)" total_energy_ev_per_cell=-15.80 vol_a3_per_cell=92.7 e_form_raw_ev_per_atom=0.082 density_g_cm3=6.36 pbc="T T T"
Se 7.621 4.400 3.111
Sr 2.540 1.467 1.037
Sr 0.000 0.000 0.000
Ru 5.081 2.933 2.074

=====

(3)
15
Lattice="7.968 0.000 0.000 -3.984 6.895 -0.025 0.000 -4.573 6.794" Properties=species:S:1:pos:R:3 comment="Sr3Ho3CuS8 (PBE, optimized geometry)" total_energy_ev_per_cell=-82.76 vol_a3_per_cell=372.4 e_form_raw_ev_per_atom=-1.791 density_g_cm3=4.81 pbc="T T T"
Ho 1.992 1.161 3.385
Ho -1.992 1.161 3.385
Ho 3.984 -2.287 3.397
Sr -1.992 3.447 -0.012
Sr 0.000 0.000 0.000
Sr 1.992 3.447 -0.012
S -1.995 3.466 4.854
S 3.984 0.017 4.932
S 1.988 -1.145 1.916
S 1.995 3.466 4.854
S 0.000 2.304 1.838
S 0.000 0.002 4.860
S 3.984 2.319 1.910
S 5.979 -1.145 1.916
Cu 0.000 -2.286 3.397

=====

(4)
12
Lattice="6.575 -2.139 1.897 -2.447 6.467 1.897 -0.061 -0.064 10.526" Properties=species:S:1:pos:R:3 comment="Tl3Bi2As (PBE, optimized geometry)" total_energy_ev_per_cell=-38.57 delta_e_f_ev_per_atom=0.04 vol_a3_per_cell=394.6 density_g_cm3=9.31 pbc="T T T"
Tl -1.854 5.011 11.505
Tl 5.922 -0.747 2.814
Tl -1.056 5.848 8.077
Tl 5.124 -1.584 6.242
Tl 2.606 1.555 9.791
Tl 1.461 2.709 4.528
Bi -0.403 2.312 7.291
Bi 4.471 1.952 7.028
Bi 1.708 4.526 12.291
Bi 2.359 -0.262 2.028
As 0.361 3.697 9.791
As 3.707 0.567 4.528